Computed, not measured: a relaxed structure of Eu3Cr5Te12 at the PBE-GGA level of DFT.

Properties
The formation energy from raw total energies comes out at -0.48 eV/atom. The density comes out at 5.992 g/cm3. The density of states at the Fermi level is 95.47 states/eV per cell.

```
Eu3Cr5Te12
1.0
-10.667 -9.354 -4.181
12.576 -7.492 2.118
-3.948 6.667 12.599
Eu Cr Te
12 20 48
Direct
0.750 0.375 0.125
0.875 0.750 0.125
0.375 0.750 0.625
0.250 0.125 0.375
0.875 0.125 0.250
0.375 0.625 0.250
0.625 0.375 0.750
0.125 0.875 0.750
0.750 0.875 0.625
0.625 0.250 0.375
0.125 0.250 0.875
0.250 0.625 0.875
0.125 0.375 0.250
0.000 0.500 0.000
0.000 0.000 0.000
0.375 0.250 0.125
0.500 0.000 0.500
0.500 0.500 0.000
0.125 0.750 0.375
0.750 0.125 0.875
0.750 0.625 0.375
0.375 0.125 0.750
0.625 0.875 0.250
0.500 0.500 0.500
0.500 0.000 0.000
0.000 0.000 0.500
0.250 0.375 0.625
0.250 0.875 0.125
0.000 0.500 0.500
0.875 0.250 0.625
0.625 0.750 0.875
0.875 0.625 0.750
0.705 0.113 0.026
0.321 0.526 0.413
0.974 0.387 0.295
0.526 0.205 0.113
0.592 0.705 0.679
0.974 0.587 0.179
0.321 0.795 0.408
0.087 0.908 0.113
0.587 0.974 0.679
0.705 0.592 0.179
0.795 0.474 0.387
0.821 0.913 0.026
0.113 0.705 0.526
0.387 0.413 0.092
0.092 0.913 0.387
0.408 0.113 0.587
0.092 0.179 0.205
0.474 0.679 0.087
0.821 0.908 0.295
0.113 0.408 0.087
0.387 0.974 0.795
0.587 0.613 0.408
0.913 0.821 0.526
0.795 0.321 0.908
0.413 0.387 0.592
0.087 0.179 0.474
0.205 0.679 0.092
0.179 0.092 0.705
0.613 0.026 0.205
0.887 0.592 0.913
0.526 0.321 0.913
0.592 0.887 0.413
0.908 0.821 0.795
0.908 0.087 0.613
0.887 0.295 0.474
0.179 0.087 0.974
0.613 0.587 0.908
0.413 0.026 0.321
0.295 0.408 0.821
0.205 0.526 0.613
0.913 0.092 0.887
0.679 0.205 0.592
0.474 0.795 0.887
0.026 0.413 0.821
0.408 0.295 0.321
0.026 0.613 0.705
0.679 0.474 0.587
0.295 0.887 0.974
```

=====

Computed, not measured: a relaxed structure of EuZn4Cr at the PBE-GGA level of DFT.

Properties
The density comes out at 7.270 g/cm3. The calculation puts the formation energy at -58 meV/atom. The density of states at the Fermi level is 3.17 states/eV per cell.

```
EuZn4Cr
1.0
-2.050 3.192 3.727
-2.792 -2.066 4.027
2.030 -0.006 4.915
Eu Cr Zn
1 1 4
Direct
0.250 0.250 0.250
0.000 0.000 0.000
0.626 0.626 0.122
0.626 0.122 0.626
0.626 0.626 0.626
0.122 0.626 0.626
```